VASP calculation (PBE) on a relaxed structure of BaPtSe.

The structure in extended XYZ format:
```
6
Lattice="5.316 -0.006 -0.003 3.330 8.928 -0.008 -2.634 -0.590 3.859" Properties=species:S:1:pos:R:3 pbc="T T T"
Pt -0.924 1.657 2.741
Pt 1.726 1.593 3.397
Ba 5.960 8.517 0.802
Ba 3.310 4.575 1.733
Se 0.822 2.467 1.212
Se 0.637 6.217 3.218
```

## Properties
As for the space-group type: P1, No. 1. The value obtained for the calculated density is 7.5 Mg/m³. The raw formation energy comes out at -1.14 eV per atom. The calculation puts the total energy at -4.953 eV per atom. The calculation puts the total magnetization at 0.00 Bohr magnetons per cell.

---

VASP calculation (PBE) on a relaxed structure of AlInCl4.

The structure in extended XYZ format:
```
6
Lattice="0.000 4.330 4.330 4.330 0.000 4.330 4.330 4.330 0.000" Properties=species:S:1:pos:R:3 pbc="T T T"
Al 0.000 0.000 0.000
In 6.495 6.495 6.495
Cl 3.246 5.414 5.414
Cl 5.414 5.414 3.246
Cl 5.414 3.246 5.414
Cl 3.246 3.246 3.246
```

## Properties
As for the space-group type: F-43m, No. 216. The value obtained for the calculated density is 2.9 Mg/m³. The raw formation energy comes out at 0.12 eV per atom. The calculation puts the total energy at -2.195 eV per atom. The calculation puts the total magnetization at 2.02 Bohr magnetons per cell.

---

VASP calculation (PBE) on a relaxed structure of Nd2ThPtN4.

The structure in extended XYZ format:
```
16
Lattice="-1.290 -3.276 -0.009 5.081 -0.098 -3.631 6.854 -2.725 9.664" Properties=species:S:1:pos:R:3 pbc="T T T"
Nd 7.078 -2.794 2.631
Nd 0.850 -2.225 -0.439
Nd 3.568 -3.306 3.394
Nd 9.796 -3.874 6.463
Th 6.140 -2.435 6.430
Th 4.506 -3.665 -0.406
Pt 7.597 -4.896 4.702
Pt 3.048 -1.204 1.322
N 3.468 -1.363 -0.792
N 5.590 -4.105 4.577
N 7.178 -4.736 6.816
N 5.056 -1.994 1.447
N 3.427 -1.362 4.832
N 0.000 0.000 0.000
N 9.203 -3.634 3.919
N 1.442 -2.465 2.106
```

## Properties
As for the space-group type: Cmcm, No. 63. The value obtained for the calculated density is 10.0 Mg/m³. The raw formation energy comes out at -0.89 eV per atom. The calculation puts the total energy at -7.924 eV per atom. The calculation puts the total magnetization at 0.00 Bohr magnetons per cell.

---

VASP calculation (PBE) on a relaxed structure of Ac3PmGa2.

The structure in extended XYZ format:
```
12
Lattice="-5.265 -4.727 -2.706 -0.006 -3.909 6.841 -2.843 8.919 0.556" Properties=species:S:1:pos:R:3 pbc="T T T"
Ac -2.634 -3.341 0.357
Ac -2.637 -5.296 3.778
Ac -5.630 1.132 -1.627
Ac -2.481 1.104 2.898
Ac -2.484 -0.850 6.318
Ac -5.634 -0.823 1.794
Pm -0.003 -1.955 3.421
Pm 0.000 0.000 0.000
Ga -5.143 2.355 1.341
Ga -5.228 -2.147 -1.232
Ga -2.887 2.429 5.923
Ga -2.972 -2.074 3.350
```

## Properties
As for the space-group type: Ibam, No. 72. The value obtained for the calculated density is 7.0 Mg/m³. The calculation puts the total energy at -4.007 eV per atom. The calculation puts the total magnetization at 0.00 Bohr magnetons per cell.

---

> Which of these has the lowest calculated density?

AlInCl4

---

Please write out number 2 again, unchanged.
VASP calculation (PBE) on a relaxed structure of AlInCl4.

The structure in extended XYZ format:
```
6
Lattice="0.000 4.330 4.330 4.330 0.000 4.330 4.330 4.330 0.000" Properties=species:S:1:pos:R:3 pbc="T T T"
Al 0.000 0.000 0.000
In 6.495 6.495 6.495
Cl 3.246 5.414 5.414
Cl 5.414 5.414 3.246
Cl 5.414 3.246 5.414
Cl 3.246 3.246 3.246
```

## Properties
As for the space-group type: F-43m, No. 216. The value obtained for the calculated density is 2.9 Mg/m³. The raw formation energy comes out at 0.12 eV per atom. The calculation puts the total energy at -2.195 eV per atom. The calculation puts the total magnetization at 2.02 Bohr magnetons per cell.